The following is a DFT calculation (PBEsol) of a relaxed CrAg2Br crystal.

Cell lengths 3.2742, 5.1028, 5.1028 Å; angles 117.20, 90.00, 90.00 degrees
Last column: nearest neighbours and their distance in Å.
Fractional coordinates of all 4 atoms:
Br  0.5000  0.0000  0.0000  2 Cr 2.66
Cr  0.5000  0.5000  0.5000  2 Br 2.66
Ag  0.0000  0.5000  0.0000  2 Ag 2.66
Ag  0.0000  0.0000  0.5000  2 Ag 2.66

Output
* total energy: -4.17 eV per atom
* space group: Cmmm
* formation energy without anion corrections: 49.4 kJ per mole of atoms